The following is a DFT calculation (GGA-PBE) of crystalline NiMo2As at its relaxed geometry.

Calculated values
Energy of formation (eV/atom): -0.0280
M_tot (μB per atom): 0.000
D(E_F) (states/eV per atom): 0.809

Cell lengths 3.217, 4.285, 8.249 Å; angles 90.00, 90.00, 90.00 degrees
Space group Imm2 (No. 44)
Asymmetric unit:
Ni 0.000 0.000 0.000 (multiplicity 2)
Mo 0.000 0.000 0.538 (multiplicity 2)
Mo 0.000 0.500 0.765 (multiplicity 2)
As 0.000 0.500 0.292 (multiplicity 2)